[1]
# Mn2AgCl2 PBE optimized geometry
# offset from the most stable computed form: 0 meV per atom
# uncorrected formation energy: 0.184 eV/atom
data_Mn2AgCl2
_chemical_formula_sum 'Mn4 Ag2 Cl4'
_space_group_name_H-M_alt 'P 4/m b m'
_space_group_IT_number 127
_space_group_name_Hall '-P 4 2ab'
_cell_length_a 7.8840
_cell_length_b 7.8840
_cell_length_c 3.0152
_cell_angle_alpha 90.00
_cell_angle_beta 90.00
_cell_angle_gamma 90.00
loop_
_atom_site_label
_atom_site_type_symbol
_atom_site_fract_x
_atom_site_fract_y
_atom_site_fract_z
Mn1 Mn 0.1786 0.3214 0.0000
Ag1 Ag 0.0000 0.0000 0.5000
Cl1 Cl 0.1343 0.6343 0.5000

[2]
# NpPa2Ti PBE optimized geometry
# formation energy from the elements: 0.16 eV/atom
data_NpPa2Ti
_chemical_formula_sum 'Np1 Pa2 Ti1'
_space_group_name_H-M_alt 'P 4/m m m'
_space_group_IT_number 123
_space_group_name_Hall '-P 4 2'
_cell_length_a 5.2108
_cell_length_b 5.2108
_cell_length_c 3.1395
_cell_angle_alpha 90.00
_cell_angle_beta 90.00
_cell_angle_gamma 90.00
loop_
_atom_site_label
_atom_site_type_symbol
_atom_site_fract_x
_atom_site_fract_y
_atom_site_fract_z
Np1 Np 0.0000 0.0000 0.0000
Pa1 Pa 0.0000 0.5000 0.5000
Ti1 Ti 0.5000 0.5000 0.0000

[3]
# ZnBiPd4 PBE optimized geometry
# formation energy from the elements: -0.26 eV/atom
data_ZnBiPd4
_chemical_formula_sum 'Zn2 Bi2 Pd8'
_space_group_name_H-M_alt 'P 1 21/c 1'
_space_group_IT_number 14
_space_group_name_Hall '-P 2ybc'
_cell_length_a 5.2431
_cell_length_b 8.0789
_cell_length_c 5.1408
_cell_angle_alpha 90.00
_cell_angle_beta 110.56
_cell_angle_gamma 90.00
loop_
_atom_site_label
_atom_site_type_symbol
_atom_site_fract_x
_atom_site_fract_y
_atom_site_fract_z
Zn1 Zn 0.0000 0.0000 0.0000
Bi1 Bi 0.5000 0.0000 0.5000
Pd1 Pd 0.0831 0.1693 0.5924
Pd2 Pd 0.3996 0.6613 0.4287

[4]
# PrEr3Mg PBE optimized geometry
# formation energy from the elements: 0.17 eV/atom
# offset from the most stable computed form: 178 meV per atom
data_PrEr3Mg
_chemical_formula_sum 'Pr8 Er24 Mg8'
_space_group_name_H-M_alt 'C 1 2/c 1'
_space_group_IT_number 15
_space_group_name_Hall '-C 2yc'
_cell_length_a 12.1655
_cell_length_b 14.1347
_cell_length_c 7.2750
_cell_angle_alpha 90.00
_cell_angle_beta 100.78
_cell_angle_gamma 90.00
loop_
_atom_site_label
_atom_site_type_symbol
_atom_site_fract_x
_atom_site_fract_y
_atom_site_fract_z
Pr1 Pr 0.1158 0.1888 0.1848
Er1 Er 0.1194 0.0495 0.6098
Er2 Er 0.1378 0.3544 0.5285
Er3 Er 0.1798 0.3945 0.0317
Mg1 Mg 0.0000 0.2319 0.7500
Mg2 Mg 0.0000 0.4983 0.2500